First-principles (PBE-GGA) data for a geometry-optimized AcTa2BiO8 structure, as listed in Alexandria.

Summary:
As for the total magnetic moment: 0.000 μB per formula unit. Its uncorrected energy is -8.468 eV/atom. Its energy relative to the elements, uncorrected is -30.3 eV per formula unit.

Lattice parameters (Å, degrees): 6.1700 6.1700 7.0581 90.00 90.00 120.00
Space group P-3m1 (No. 164)
Symmetry-distinct sites (fractional):
Ac: 0.0000 0.0000 0.0000 [1 per cell]
Ta: 0.3333 0.6667 0.3354 [2 per cell]
Bi: 0.0000 0.0000 0.5000 [1 per cell]
O: 0.1619 0.3238 0.2578 [6 per cell]
O: 0.3333 0.6667 0.5874 [2 per cell]